{"formula": "NiAsPt2", "functional": "PBE-GGA", "state": "optimized geometry", "ef_ev_per_atom": -0.0614, "magmom_total_mub_per_cell": 0.62, "e_tot_ha_per_atom": -0.2091, "crystal_system": "tetragonal", "rho_g_cm3": 14.576, "vol_a3_per_cell": 59.7, "lattice": [[3.286, 0.000, 0.000], [0.000, 3.286, 0.000], [0.000, 0.000, 5.525]], "species": ["Ni", "As", "Pt", "Pt"], "fractional_positions": [[0.000, 0.000, 0.000], [0.000, 0.000, 0.500], [0.500, 0.500, 0.241], [0.500, 0.500, 0.759]]}

***

{"formula": "NiAsPt", "functional": "PBE-GGA", "state": "optimized geometry", "ef_ev_per_atom": -0.1407, "magmom_total_mub_per_cell": 0.20, "e_tot_ha_per_atom": -0.2069, "crystal_system": "cubic", "rho_g_cm3": 11.506, "vol_a3_per_cell": 47.4, "lattice": [[0.000, 2.873, 2.873], [2.873, 0.000, 2.873], [2.873, 2.873, 0.000]], "species": ["Ni", "As", "Pt"], "fractional_positions": [[0.000, 0.000, 0.000], [0.750, 0.750, 0.750], [0.500, 0.500, 0.500]]}

***

{"formula": "NiAsPt3", "functional": "PBE-GGA", "state": "optimized geometry", "ef_ev_per_atom": 0.7783, "magmom_total_mub_per_cell": 1.05, "e_tot_ha_per_atom": -0.1813, "crystal_system": "cubic", "rho_g_cm3": 12.004, "vol_a3_per_cell": 99.4, "lattice": [[4.633, 0.000, 0.000], [0.000, 4.633, 0.000], [0.000, 0.000, 4.633]], "species": ["Ni", "As", "Pt", "Pt", "Pt"], "fractional_positions": [[0.000, 0.000, 0.000], [0.500, 0.500, 0.500], [0.000, 0.500, 0.500], [0.500, 0.000, 0.500], [0.500, 0.500, 0.000]]}

***

{"formula": "NiAs2Pt", "functional": "PBE-GGA", "state": "optimized geometry", "ef_ev_per_atom": 0.2582, "magmom_total_mub_per_cell": 0.00, "e_tot_ha_per_atom": -0.1846, "crystal_system": "cubic", "rho_g_cm3": 10.670, "vol_a3_per_cell": 62.8, "lattice": [[0.000, 3.155, 3.155], [3.155, 0.000, 3.155], [3.155, 3.155, 0.000]], "species": ["Ni", "As", "As", "Pt"], "fractional_positions": [[0.000, 0.000, 0.000], [0.250, 0.250, 0.250], [0.500, 0.500, 0.500], [0.750, 0.750, 0.750]]}

***

{"formula": "NiAsPt2", "functional": "PBE-GGA", "state": "optimized geometry", "ef_ev_per_atom": -0.1184, "magmom_total_mub_per_cell": 0.00, "e_tot_ha_per_atom": -0.2112, "crystal_system": "monoclinic", "rho_g_cm3": 14.500, "vol_a3_per_cell": 60.0, "lattice": [[2.849, 0.000, 0.000], [0.000, 3.771, 0.000], [-1.410, 0.000, 5.584]], "species": ["Ni", "As", "Pt", "Pt"], "fractional_positions": [[0.000, 0.000, 0.000], [0.416, 0.500, 0.830], [0.273, 0.000, 0.541], [0.634, 0.500, 0.264]]}

***

{"formula": "Ni2As2Pt", "functional": "PBE-GGA", "state": "optimized geometry", "ef_ev_per_atom": 0.0753, "magmom_total_mub_per_cell": 0.00, "e_tot_ha_per_atom": -0.1950, "crystal_system": "tetragonal", "rho_g_cm3": 10.087, "vol_a3_per_cell": 76.1, "lattice": [[-2.033, 2.033, 4.606], [2.033, -2.033, 4.606], [2.033, 2.033, -4.606]], "species": ["Ni", "Ni", "As", "As", "Pt"], "fractional_positions": [[0.250, 0.750, 0.500], [0.750, 0.250, 0.500], [0.126, 0.126, 0.000], [0.874, 0.874, 0.000], [0.500, 0.500, 0.000]]}

***

{"formula": "NiAs2Pt", "functional": "PBE-GGA", "state": "optimized geometry", "ef_ev_per_atom": -0.2772, "magmom_total_mub_per_cell": 0.00, "e_tot_ha_per_atom": -0.2042, "crystal_system": "monoclinic", "rho_g_cm3": 10.033, "vol_a3_per_cell": 66.8, "lattice": [[3.519, -1.843, 0.000], [3.519, 1.843, 0.000], [-0.150, 0.000, 5.151]], "species": ["Ni", "As", "As", "Pt"], "fractional_positions": [[0.000, 0.000, 0.000], [0.395, 0.395, 0.738], [0.704, 0.704, 0.200], [0.082, 0.082, 0.499]]}

***

{"formula": "NiAsPt2", "functional": "PBE-GGA", "state": "optimized geometry", "ef_ev_per_atom": -0.0610, "magmom_total_mub_per_cell": 0.00, "e_tot_ha_per_atom": -0.2091, "crystal_system": "orthorhombic", "rho_g_cm3": 14.777, "vol_a3_per_cell": 58.9, "lattice": [[2.840, 0.000, 0.000], [0.000, 3.432, 0.000], [0.000, 0.000, 6.038]], "species": ["Ni", "As", "Pt", "Pt"], "fractional_positions": [[0.000, 0.000, 0.000], [0.500, 0.500, 0.805], [0.000, 0.000, 0.533], [0.500, 0.500, 0.244]]}